Material: TbSmHg2
Method: DFT, PBEsol
State: relaxed

Cell and atoms, written as CIF:
```
data_TbSmHg2
_chemical_formula_sum 'Tb1 Sm1 Hg2'
_cell_length_a 5.223
_cell_length_b 5.223
_cell_length_c 5.223
_cell_angle_alpha 60.00
_cell_angle_beta 60.00
_cell_angle_gamma 60.00
_symmetry_space_group_name_H-M 'P 1'
_symmetry_Int_Tables_number 1
_symmetry_space_group_name_Hall 'P 1'
loop_
_atom_site_label
_atom_site_type_symbol
_atom_site_fract_x
_atom_site_fract_y
_atom_site_fract_z
Tb1 Tb 0.000 0.000 0.000
Sm1 Sm 0.500 0.500 0.500
Hg1 Hg 0.250 0.250 0.250
Hg2 Hg 0.750 0.750 0.750
```

Calculated formation energy (eV per atom): -0.559
Final energy (eV/atom): -3.368
Space-group type: Fm-3m (225)